1.
# HoPa5

A relaxed structure of HoPa5 (PBE-GGA, the Alexandria database).

## Properties
Mass density ... 14.344 g/cm3
Raw total energy ... -51.32 eV per formula unit
ΔH_f (0 K) ... 0.122 eV per atom

Lattice parameters (Å, degrees): 3.2379 5.5932 8.8898 108.34 90.00 90.00
Closest atoms and distances in Å follow each position.
Positions (direct):
Pa (0.0000, 0.6601, 0.3203)  10 Pa 3.15-3.25
Pa (0.0000, 0.3399, 0.6797)  10 Pa 3.15-3.25
Pa (0.5000, 0.5000, 0.0000)  6 Pa 3.15-3.24, 4 Ho 3.23
Pa (0.5000, 0.1777, 0.3554)  8 Pa 3.18-3.25, 2 Ho 3.41
Pa (0.5000, 0.8223, 0.6446)  8 Pa 3.18-3.25, 2 Ho 3.41
Ho (0.0000, 0.0000, 0.0000)  8 Pa 3.23-3.41, 2 Ho 3.24

2.
# InSi6Pd12

A relaxed structure of InSi6Pd12 (PBE-GGA, the Alexandria database).

## Properties
Mass density ... 8.399 g/cm3
Raw total energy ... -107.94 eV per formula unit
Formation energy without anion corrections ... -10.3 eV per formula unit

Lattice parameters (Å, degrees): 7.1572 7.1572 7.1572 106.61 106.61 106.61
Closest atoms and distances in Å follow each position.
Positions (direct):
In (0.0000, 0.0000, 0.0000)  6 Pd 3.24
Si (0.6899, 0.2567, 0.2567)  7 Pd 2.40-2.55
Si (0.2567, 0.2567, 0.6899)  7 Pd 2.40-2.55
Si (0.2567, 0.6899, 0.2567)  7 Pd 2.40-2.55
Si (0.7433, 0.7433, 0.3101)  7 Pd 2.40-2.55
Si (0.3101, 0.7433, 0.7433)  7 Pd 2.40-2.55
Si (0.7433, 0.3101, 0.7433)  7 Pd 2.40-2.55
Pd (0.8735, 0.1265, 0.5000)  4 Si 2.43-2.44
Pd (0.8297, 0.5739, 0.5739)  3 Si 2.40-2.55
Pd (0.5739, 0.5739, 0.8297)  3 Si 2.40-2.55
Pd (0.4261, 0.1703, 0.4261)  3 Si 2.40-2.55
Pd (0.4261, 0.4261, 0.1703)  3 Si 2.40-2.55
Pd (0.1703, 0.4261, 0.4261)  3 Si 2.40-2.55
Pd (0.1265, 0.5000, 0.8735)  4 Si 2.43-2.44
Pd (0.5000, 0.8735, 0.1265)  4 Si 2.43-2.44
Pd (0.1265, 0.8735, 0.5000)  4 Si 2.43-2.44
Pd (0.8735, 0.5000, 0.1265)  4 Si 2.43-2.44
Pd (0.5000, 0.1265, 0.8735)  4 Si 2.43-2.44
Pd (0.5739, 0.8297, 0.5739)  3 Si 2.40-2.55

3.
# TlVRhN2

A relaxed structure of TlVRhN2 (PBE-GGA, the Alexandria database).

## Properties
Mass density ... 7.667 g/cm3
Raw total energy ... -31.40 eV per formula unit
Formation energy without anion corrections ... 4.1 eV per formula unit

Lattice parameters (Å, degrees): 3.7589 5.9205 3.7589 90.00 90.00 90.00
Closest atoms and distances in Å follow each position.
Positions (direct):
Tl (0.0000, 0.5000, 0.0000)  4 Rh 2.66, 2 V 2.96
N (0.0000, 0.0000, 0.5000)  2 V 1.88
N (0.5000, 0.0000, 0.0000)  2 V 1.88
Rh (0.5000, 0.5000, 0.5000)  4 Tl 2.66
V (0.0000, 0.0000, 0.0000)  4 N 1.88

4.
# CaPm3Cd6

A relaxed structure of CaPm3Cd6 (PBE-GGA, the Alexandria database).

## Properties
Mass density ... 7.137 g/cm3
Raw total energy ... -24.68 eV per formula unit
ΔH_f (0 K) ... -0.294 eV per atom

Lattice parameters (Å, degrees): 5.2407 9.3952 11.2702 105.43 90.00 90.00
Closest atoms and distances in Å follow each position.
Positions (direct):
Ca (0.2500, 0.9464, 0.6053)  8 Cd 3.14-3.34
Ca (0.7500, 0.0536, 0.3947)  8 Cd 3.14-3.34
Pm (0.2500, 0.5283, 0.3904)  8 Cd 3.20-3.45
Pm (0.7500, 0.4717, 0.6096)  8 Cd 3.20-3.45
Pm (0.2500, 0.3514, 0.7882)  8 Cd 3.22-3.36
Pm (0.7500, 0.6486, 0.2118)  8 Cd 3.22-3.36
Pm (0.2500, 0.7630, 0.0015)  8 Cd 3.19-3.38
Pm (0.7500, 0.2370, 0.9985)  8 Cd 3.19-3.38
Cd (0.2500, 0.4466, 0.0900)  7 Pm 3.27-3.38, 3 Cd 3.34-3.62
Cd (0.7500, 0.5534, 0.9100)  7 Pm 3.27-3.38, 3 Cd 3.34-3.62
Cd (0.2500, 0.1428, 0.1912)  8 Cd 3.19-3.34
Cd (0.7500, 0.8572, 0.8088)  8 Cd 3.19-3.34
Cd (0.2500, 0.6658, 0.7064)  1 Ca 3.14, 5 Pm 3.21-3.45, 2 Cd 3.21
Cd (0.7500, 0.3342, 0.2936)  1 Ca 3.14, 5 Pm 3.21-3.45, 2 Cd 3.21
Cd (0.2500, 0.2413, 0.4919)  3 Ca 3.19-3.34, 4 Pm 3.20-3.43, 1 Cd 3.27
Cd (0.7500, 0.7587, 0.5081)  3 Ca 3.19-3.34, 4 Pm 3.20-3.43, 1 Cd 3.27
Cd (0.2500, 0.8519, 0.3050)  3 Ca 3.23-3.26, 4 Pm 3.25-3.42, 1 Cd 3.31
Cd (0.7500, 0.1481, 0.6950)  3 Ca 3.23-3.26, 4 Pm 3.25-3.42, 1 Cd 3.31
Cd (0.2500, 0.0511, 0.8961)  1 Ca 3.16, 4 Pm 3.19-3.36, 3 Cd 3.19-3.21
Cd (0.7500, 0.9489, 0.1039)  1 Ca 3.16, 4 Pm 3.19-3.36, 3 Cd 3.19-3.21

5.
# BeCdP

A relaxed structure of BeCdP (PBE-GGA, the Alexandria database).

## Properties
Mass density ... 4.538 g/cm3
Raw total energy ... -10.08 eV per formula unit
ΔH_f (0 K) ... -0.011 eV per atom

Lattice parameters (Å, degrees): 3.6296 3.6256 5.2256 71.95 72.42 60.11
Closest atoms and distances in Å follow each position.
Positions (direct):
P (0.2369, 0.2538, 0.2944)  3 Be 2.10-2.11
Be (0.5835, 0.6007, 0.2513)  3 P 2.10-2.11
Cd (0.0466, 0.0796, 0.8371)  1 P 2.66, 2 Be 2.87-2.89

6.
# PmPr6

A relaxed structure of PmPr6 (PBE-GGA, the Alexandria database).

## Properties
Mass density ... 5.734 g/cm3
Raw total energy ... -25.42 eV per formula unit
ΔH_f (0 K) ... 1.144 eV per atom

Lattice parameters (Å, degrees): 7.1957 7.1957 7.1957 109.47 109.47 109.47
Closest atoms and distances in Å follow each position.
Positions (direct):
Pm (0.0000, 0.0000, 0.0000)  24 Pr 4.64
Pr (0.2500, 0.7500, 0.5000)  4 Pr 2.94
Pr (0.5000, 0.7500, 0.2500)  4 Pr 2.94
Pr (0.2500, 0.5000, 0.7500)  4 Pr 2.94
Pr (0.7500, 0.2500, 0.5000)  4 Pr 2.94
Pr (0.5000, 0.2500, 0.7500)  4 Pr 2.94
Pr (0.7500, 0.5000, 0.2500)  4 Pr 2.94